# LiCa2Dy3S6, optimized geometry, DFT PBE
data_LiCa2Dy3S6
_chemical_formula_sum 'Li2 Ca4 Dy6 S12'
_cell_length_a 6.776
_cell_length_b 11.737
_cell_length_c 6.874
_cell_angle_alpha 90.00
_cell_angle_beta 109.17
_cell_angle_gamma 90.00
_space_group_name_H-M_alt 'C 1 2/m 1'
_space_group_IT_number 12
loop_
_space_group_symop_operation_xyz
'x,y,z'
'-x,-y,-z'
'-x,y,-z'
'x,-y,z'
'x+1/2,y+1/2,z'
'-x+1/2,-y+1/2,-z'
'-x+1/2,y+1/2,-z'
'x+1/2,-y+1/2,z'
loop_
_atom_site_label
_atom_site_type_symbol
_atom_site_fract_x
_atom_site_fract_y
_atom_site_fract_z
_atom_site_occupancy
Li1 Li 0.000 0.000 0.000 1
Ca1 Ca 0.000 0.334 0.000 1
Dy1 Dy 0.000 0.167 0.500 1
Dy2 Dy 0.000 0.500 0.500 1
S1 S 0.244 0.000 0.747 1
S2 S 0.248 0.164 0.253 1
# D(E_F) = 0.2167 states/eV per atom
# Raw formation energy = -1.9948 eV/atom


# CsMnI3, optimized geometry, DFT PBE
data_CsMnI3
_chemical_formula_sum 'Cs4 Mn4 I12'
_cell_length_a 13.897
_cell_length_b 11.124
_cell_length_c 6.377
_cell_angle_alpha 90.00
_cell_angle_beta 92.61
_cell_angle_gamma 90.00
_space_group_name_H-M_alt 'C 1 2/m 1'
_space_group_IT_number 12
loop_
_space_group_symop_operation_xyz
'x,y,z'
'-x,-y,-z'
'-x,y,-z'
'x,-y,z'
'x+1/2,y+1/2,z'
'-x+1/2,-y+1/2,-z'
'-x+1/2,y+1/2,-z'
'x+1/2,-y+1/2,z'
loop_
_atom_site_label
_atom_site_type_symbol
_atom_site_fract_x
_atom_site_fract_y
_atom_site_fract_z
_atom_site_occupancy
Cs1 Cs 0.191 0.000 0.253 1
Mn1 Mn 0.000 0.337 0.500 1
I1 I 0.102 0.500 0.272 1
I2 I 0.122 0.208 0.739 1
# D(E_F) = 0.0000 states/eV per atom
# Polymorph energy (0 for the lowest one) = 0 meV per atom
# Raw formation energy = -0.9094 eV/atom


# Ac2Zn4In3Cu, optimized geometry, DFT PBE
data_Ac2Zn4In3Cu
_chemical_formula_sum 'Ac2 Zn4 In3 Cu1'
_cell_length_a 4.641
_cell_length_b 4.641
_cell_length_c 10.925
_cell_angle_alpha 90.00
_cell_angle_beta 90.00
_cell_angle_gamma 90.00
_space_group_name_H-M_alt 'P -4 m 2'
_space_group_IT_number 115
loop_
_space_group_symop_operation_xyz
'x,y,z'
'y,-x,-z'
'-x,-y,z'
'-y,x,-z'
'-x,y,z'
'-y,-x,-z'
'x,-y,z'
'y,x,-z'
loop_
_atom_site_label
_atom_site_type_symbol
_atom_site_fract_x
_atom_site_fract_y
_atom_site_fract_z
_atom_site_occupancy
Ac1 Ac 0.000 0.500 0.246 1
Zn1 Zn 0.000 0.000 0.500 1
Zn2 Zn 0.000 0.500 0.880 1
Zn3 Zn 0.500 0.500 0.500 1
In1 In 0.000 0.000 0.000 1
In2 In 0.000 0.500 0.635 1
Cu1 Cu 0.500 0.500 0.000 1
# D(E_F) = 0.6793 states/eV per atom


# La8Ho5Th, optimized geometry, DFT PBE
data_La8Ho5Th
_chemical_formula_sum 'La16 Ho10 Th2'
_cell_length_a 12.402
_cell_length_b 9.687
_cell_length_c 10.197
_cell_angle_alpha 90.00
_cell_angle_beta 126.69
_cell_angle_gamma 90.00
_space_group_name_H-M_alt 'C 1 2 1'
_space_group_IT_number 5
loop_
_space_group_symop_operation_xyz
'x,y,z'
'-x,y,-z'
'x+1/2,y+1/2,z'
'-x+1/2,y+1/2,-z'
loop_
_atom_site_label
_atom_site_type_symbol
_atom_site_fract_x
_atom_site_fract_y
_atom_site_fract_z
_atom_site_occupancy
La1 La 0.048 0.000 0.195 1
La2 La 0.146 0.795 0.706 1
La3 La 0.181 0.342 0.442 1
La4 La 0.236 0.635 0.061 1
Ho1 Ho 0.000 0.112 0.500 1
Ho2 Ho 0.100 0.637 0.259 1
Ho3 Ho 0.135 0.431 0.733 1
Th1 Th 0.000 0.342 0.000 1
# D(E_F) = 1.3393 states/eV per atom


# TbDy4Ge4, optimized geometry, DFT PBE
data_TbDy4Ge4
_chemical_formula_sum 'Tb2 Dy8 Ge8'
_cell_length_a 9.136
_cell_length_b 9.136
_cell_length_c 5.824
_cell_angle_alpha 90.00
_cell_angle_beta 90.00
_cell_angle_gamma 90.00
_space_group_name_H-M_alt 'P 42/n'
_space_group_IT_number 86
loop_
_space_group_symop_operation_xyz
'x,y,z'
'-x,-y,-z'
'-y,x+1/2,z+1/2'
'y,-x+1/2,-z+1/2'
'-x+1/2,-y+1/2,z'
'x+1/2,y+1/2,-z'
'y+1/2,-x,z+1/2'
'-y+1/2,x,-z+1/2'
loop_
_atom_site_label
_atom_site_type_symbol
_atom_site_fract_x
_atom_site_fract_y
_atom_site_fract_z
_atom_site_occupancy
Tb1 Tb 0.250 0.250 0.250 1
Dy1 Dy 0.078 0.656 0.136 1
Ge1 Ge 0.027 0.618 0.636 1
# D(E_F) = 1.0429 states/eV per atom


# Ti3CrW, optimized geometry, DFT PBE
data_Ti3CrW
_chemical_formula_sum 'Ti3 Cr1 W1'
_cell_length_a 4.705
_cell_length_b 4.705
_cell_length_c 4.705
_cell_angle_alpha 90.00
_cell_angle_beta 90.00
_cell_angle_gamma 90.00
_space_group_name_H-M_alt 'P m -3 m'
_space_group_IT_number 221
_space_group_name_Hall '-P 4 2 3'
loop_
_atom_site_label
_atom_site_type_symbol
_atom_site_fract_x
_atom_site_fract_y
_atom_site_fract_z
_atom_site_occupancy
Ti1 Ti 0.000 0.000 0.500 1
Cr1 Cr 0.500 0.500 0.500 1
W1 W 0.000 0.000 0.000 1
# D(E_F) = 1.7400 states/eV per atom
# Polymorph energy (0 for the lowest one) = 564 meV per atom


Computed energy, in the same sequence as the records: -136.85; -76.88; -28.53; -134.15; -93.49; -39.15 eV for the cell shown.
Computed size of the total moment, in the same sequence as the records: 0.00; 5.00; 0.00; 0.00; 0.00; 0.13 μB per formula unit.